TaFeI2O PBE with a Hubbard U optimized geometry; final energy = -26.7 eV per formula unit; calculated density = 6.413 g cm⁻³; space group = P4/mmm (123); relative energy among the computed polymorphs = 0 meV/atom; size of the total moment = 1.095 μB per atom; Fermi-level density of states = 3.07 states/eV per cell
1.0
-1.0675 3.6724 -4.3613
-4.5207 2.1585 2.9241
2.3351 2.6462 1.6567
I Fe O Ta
2 1 1 1
Direct
0.0000 0.5000 0.0000
0.5000 0.0000 0.0000
0.5000 0.5000 0.5000
0.0000 0.0000 0.5000
0.0000 0.0000 0.0000